# Cu2NiOs, relaxed, DFT PBE-GGA
data_Cu2NiOs
_chemical_formula_sum 'Cu4 Ni2 Os2'
_space_group_name_H-M_alt 'C m m m'
_space_group_IT_number 65
_space_group_name_Hall '-C 2 2'
_cell_length_a 5.1485
_cell_length_b 7.6778
_cell_length_c 2.5210
_cell_angle_alpha 90.00
_cell_angle_beta 90.00
_cell_angle_gamma 90.00
loop_
_atom_site_label
_atom_site_type_symbol
_atom_site_fract_x
_atom_site_fract_y
_atom_site_fract_z
_atom_site_occupancy
Cu1 Cu 0.2500 0.2500 0.0000 1
Ni1 Ni 0.0000 0.0000 0.5000 1
Os1 Os 0.0000 0.5000 0.5000 1
# energy of formation = 0.280 eV per atom
# DOS(E_F) = 5.2 states/eV/f.u.
# magnetization = 0.4 μB per formula unit
# electronic total energy = -0.2213 Ha/atom
# offset from the most stable computed form = 137 meV per atom

# KBa3Si, relaxed, DFT PBE-GGA
data_KBa3Si
_chemical_formula_sum 'K1 Ba3 Si1'
_space_group_name_H-M_alt 'P m -3 m'
_space_group_IT_number 221
_space_group_name_Hall '-P 4 2 3'
_cell_length_a 6.6350
_cell_length_b 6.6350
_cell_length_c 6.6350
_cell_angle_alpha 90.00
_cell_angle_beta 90.00
_cell_angle_gamma 90.00
loop_
_atom_site_label
_atom_site_type_symbol
_atom_site_fract_x
_atom_site_fract_y
_atom_site_fract_z
_atom_site_occupancy
K1 K 0.0000 0.0000 0.0000 1
Ba1 Ba 0.0000 0.5000 0.5000 1
Si1 Si 0.5000 0.5000 0.5000 1
# DOS(E_F) = 6.8 states/eV/f.u.
# magnetization = 0.0 μB per formula unit
# electronic total energy = -0.0926 Ha/atom
# offset from the most stable computed form = 0 meV per atom
# uncorrected formation energy = -30 kJ/mol of formula units

# Ni2Os, relaxed, DFT PBE-GGA
data_Ni2Os
_chemical_formula_sum 'Ni8 Os4'
_space_group_name_H-M_alt 'C 1 2/m 1'
_space_group_IT_number 12
_cell_length_a 8.2364
_cell_length_b 3.6448
_cell_length_c 5.1235
_cell_angle_alpha 90.00
_cell_angle_beta 109.26
_cell_angle_gamma 90.00
loop_
_space_group_symop_operation_xyz
'x,y,z'
'-x,-y,-z'
'-x,y,-z'
'x,-y,z'
'x+1/2,y+1/2,z'
'-x+1/2,-y+1/2,-z'
'-x+1/2,y+1/2,-z'
'x+1/2,-y+1/2,z'
loop_
_atom_site_label
_atom_site_type_symbol
_atom_site_fract_x
_atom_site_fract_y
_atom_site_fract_z
_atom_site_occupancy
Ni1 Ni 0.0009 0.0000 0.2557 1
Ni2 Ni 0.1692 0.5000 0.5780 1
Os1 Os 0.1673 0.5000 0.0795 1
# energy of formation = 0.064 eV per atom
# DOS(E_F) = 4.1 states/eV/f.u.
# magnetization = 0.0 μB per formula unit
# electronic total energy = -0.2769 Ha/atom
# offset from the most stable computed form = 0 meV per atom

# HfTaI, relaxed, DFT PBE-GGA
data_HfTaI
_chemical_formula_sum 'Hf2 Ta2 I2'
_space_group_name_H-M_alt 'P 1 21/m 1'
_space_group_IT_number 11
_cell_length_a 3.6506
_cell_length_b 3.4844
_cell_length_c 12.8497
_cell_angle_alpha 90.00
_cell_angle_beta 90.14
_cell_angle_gamma 90.00
loop_
_space_group_symop_operation_xyz
'x,y,z'
'-x,-y,-z'
'-x,y+1/2,-z'
'x,-y+1/2,z'
loop_
_atom_site_label
_atom_site_type_symbol
_atom_site_fract_x
_atom_site_fract_y
_atom_site_fract_z
_atom_site_occupancy
Hf1 Hf 0.2493 0.2500 0.4321 1
Ta1 Ta 0.2518 0.2500 0.6865 1
I1 I 0.2525 0.7500 0.8593 1
# DOS(E_F) = 2.7 states/eV/f.u.
# magnetization = 0.0 μB per formula unit
# electronic total energy = -0.2794 Ha/atom
# uncorrected formation energy = 53 kJ/mol of formula units

# CsCr2Te4, relaxed, DFT PBE-GGA
data_CsCr2Te4
_chemical_formula_sum 'Cs3 Cr6 Te12'
_space_group_name_H-M_alt 'R -3 m'
_space_group_IT_number 166
_space_group_name_Hall '-R 3 2"'
_cell_length_a 4.0689
_cell_length_b 4.0689
_cell_length_c 43.8827
_cell_angle_alpha 90.00
_cell_angle_beta 90.00
_cell_angle_gamma 120.00
loop_
_atom_site_label
_atom_site_type_symbol
_atom_site_fract_x
_atom_site_fract_y
_atom_site_fract_z
_atom_site_occupancy
Cs1 Cs 0.0000 0.0000 0.0000 1
Cr1 Cr 0.0000 0.0000 0.4333 1
Te1 Te 0.0000 0.0000 0.1325 1
Te2 Te 0.0000 0.0000 0.2664 1
# DOS(E_F) = 3.0 states/eV/f.u.
# magnetization = 5.6 μB per formula unit
# electronic total energy = -0.1845 Ha/atom
# uncorrected formation energy = -238 kJ/mol of formula units

# PrHoIn3, relaxed, DFT PBE-GGA
data_PrHoIn3
_chemical_formula_sum 'Pr4 Ho4 In12'
_space_group_name_H-M_alt 'C m c m'
_space_group_IT_number 63
_space_group_name_Hall '-C 2c 2'
_cell_length_a 3.7451
_cell_length_b 29.6604
_cell_length_c 4.9269
_cell_angle_alpha 90.00
_cell_angle_beta 90.00
_cell_angle_gamma 90.00
loop_
_atom_site_label
_atom_site_type_symbol
_atom_site_fract_x
_atom_site_fract_y
_atom_site_fract_z
_atom_site_occupancy
Pr1 Pr 0.0000 0.0746 0.2500 1
Ho1 Ho 0.0000 0.2133 0.7500 1
In1 In 0.0000 0.3199 0.7500 1
In2 In 0.0000 0.3770 0.2500 1
In3 In 0.0000 0.4751 0.2500 1
# energy of formation = -0.449 eV per atom
# DOS(E_F) = 2.9 states/eV/f.u.
# magnetization = 0.3 μB per formula unit
# electronic total energy = -0.1457 Ha/atom
# offset from the most stable computed form = 0 meV per atom